A geometry-optimized GdYInGa structure, computed with PBE.

Its formation energy is -0.52 eV/atom.

It has space group F-43m (No. 216), with a = 7.389 Å, b = 7.389 Å, c = 7.389 Å, α = 90.00°, β = 90.00° and γ = 90.00°. Symmetry generates all atoms from Gd at (0.000, 0.000, 0.000), Y at (0.000, 0.000, 0.500), In at (0.250, 0.250, 0.750) and Ga at (0.250, 0.250, 0.250).